*1*
# LiFePbW

A geometry-optimized LiFePbW structure (GGA-PBE, the Open Quantum Materials Database).

Structure (POSCAR):
```
LiFePbW
1.0
0.000 3.089 3.089
3.089 0.000 3.089
3.089 3.089 0.000
Li Fe Pb W
1 1 1 1
Direct
0.000 0.000 0.000 Li
0.500 0.500 0.500 Fe
0.250 0.250 0.250 Pb
0.750 0.750 0.750 W
```


*2*
# LiFePbW

A geometry-optimized LiFePbW structure (GGA-PBE, the Open Quantum Materials Database).

Structure (POSCAR):
```
LiFePbW
1.0
0.000 3.208 3.208
3.208 0.000 3.208
3.208 3.208 0.000
Li Fe Pb W
1 1 1 1
Direct
0.000 0.000 0.000 Li
0.750 0.750 0.750 Fe
0.500 0.500 0.500 Pb
0.250 0.250 0.250 W
```


Tell me which of them is the least stable. Sure, it is *2*.


*1*
# LiZrFePb

A geometry-optimized LiZrFePb structure (GGA-PBE, the Open Quantum Materials Database).

Structure (POSCAR):
```
LiZrFePb
1.0
0.000 3.324 3.324
3.324 0.000 3.324
3.324 3.324 0.000
Li Zr Fe Pb
1 1 1 1
Direct
0.000 0.000 0.000 Li
0.250 0.250 0.250 Zr
0.750 0.750 0.750 Fe
0.500 0.500 0.500 Pb
```


*2*
# LiZrFePb

A geometry-optimized LiZrFePb structure (GGA-PBE, the Open Quantum Materials Database).

Structure (POSCAR):
```
LiZrFePb
1.0
0.000 3.232 3.232
3.232 0.000 3.232
3.232 3.232 0.000
Li Zr Fe Pb
1 1 1 1
Direct
0.000 0.000 0.000 Li
0.750 0.750 0.750 Zr
0.500 0.500 0.500 Fe
0.250 0.250 0.250 Pb
```


Tell me which of them is the least stable. Sure, it is *1*.


*1*
# LiSmFeS3

A geometry-optimized LiSmFeS3 structure (GGA-PBE, the Open Quantum Materials Database).

Structure (POSCAR):
```
LiSmFeS3
1.0
7.493 0.000 0.000
0.000 3.867 0.000
-1.319 0.000 9.133
Li Sm Fe S
2 2 2 6
Direct
0.148 0.250 0.123 Li
0.852 0.750 0.877 Li
0.355 0.750 0.829 Sm
0.645 0.250 0.171 Sm
0.071 0.250 0.587 Fe
0.929 0.750 0.413 Fe
0.084 0.250 0.839 S
0.225 0.750 0.526 S
0.383 0.750 0.138 S
0.617 0.250 0.862 S
0.775 0.250 0.474 S
0.916 0.750 0.161 S
```


*2*
# LiSmFeS3

A geometry-optimized LiSmFeS3 structure (GGA-PBE, the Open Quantum Materials Database).

Structure (POSCAR):
```
LiSmFeS3
1.0
1.947 -5.982 0.000
1.947 5.982 0.000
0.000 0.000 10.772
Li Sm Fe S
2 2 2 6
Direct
0.230 0.770 0.750 Li
0.770 0.230 0.250 Li
0.000 0.000 0.000 Sm
0.000 0.000 0.500 Sm
0.479 0.521 0.250 Fe
0.521 0.479 0.750 Fe
0.087 0.913 0.250 S
0.356 0.644 0.089 S
0.356 0.644 0.411 S
0.644 0.356 0.589 S
0.644 0.356 0.911 S
0.913 0.087 0.750 S
```


Tell me which of them is the least stable. Sure, it is *2*.


*1*
# LiYFeSb

A geometry-optimized LiYFeSb structure (GGA-PBE, the Open Quantum Materials Database).

Structure (POSCAR):
```
LiYFeSb
1.0
0.000 3.258 3.258
3.258 0.000 3.258
3.258 3.258 0.000
Li Y Fe Sb
1 1 1 1
Direct
0.000 0.000 0.000 Li
0.750 0.750 0.750 Y
0.500 0.500 0.500 Fe
0.250 0.250 0.250 Sb
```


*2*
# LiYFeSb

A geometry-optimized LiYFeSb structure (GGA-PBE, the Open Quantum Materials Database).

Structure (POSCAR):
```
LiYFeSb
1.0
0.000 3.374 3.374
3.374 0.000 3.374
3.374 3.374 0.000
Li Y Fe Sb
1 1 1 1
Direct
0.000 0.000 0.000 Li
0.250 0.250 0.250 Y
0.750 0.750 0.750 Fe
0.500 0.500 0.500 Sb
```


Tell me which of them is the least stable. Sure, it is *2*.


*1*
# LiScFeSi

A geometry-optimized LiScFeSi structure (GGA-PBE, the Open Quantum Materials Database).

Structure (POSCAR):
```
LiScFeSi
1.0
0.000 2.973 2.973
2.973 0.000 2.973
2.973 2.973 0.000
Li Sc Fe Si
1 1 1 1
Direct
0.000 0.000 0.000 Li
0.250 0.250 0.250 Sc
0.500 0.500 0.500 Fe
0.750 0.750 0.750 Si
```


*2*
# LiScFeSi

A geometry-optimized LiScFeSi structure (GGA-PBE, the Open Quantum Materials Database).

Structure (POSCAR):
```
LiScFeSi
1.0
0.000 3.112 3.112
3.112 0.000 3.112
3.112 3.112 0.000
Li Sc Fe Si
1 1 1 1
Direct
0.000 0.000 0.000 Li
0.500 0.500 0.500 Sc
0.750 0.750 0.750 Fe
0.250 0.250 0.250 Si
```


*3*
# LiScFeSi

A geometry-optimized LiScFeSi structure (GGA-PBE, the Open Quantum Materials Database).

Structure (POSCAR):
```
LiScFeSi
1.0
0.000 3.000 3.000
3.000 0.000 3.000
3.000 3.000 0.000
Li Sc Fe Si
1 1 1 1
Direct
0.000 0.000 0.000 Li
0.750 0.750 0.750 Sc
0.250 0.250 0.250 Fe
0.500 0.500 0.500 Si
```


Tell me which of them is the least stable. Sure, it is *2*.


*1*
# LiScFeTe

A geometry-optimized LiScFeTe structure (GGA-PBE, the Open Quantum Materials Database).

Structure (POSCAR):
```
LiScFeTe
1.0
0.000 3.107 3.107
3.107 0.000 3.107
3.107 3.107 0.000
Li Sc Fe Te
1 1 1 1
Direct
0.000 0.000 0.000 Li
0.750 0.750 0.750 Sc
0.500 0.500 0.500 Fe
0.250 0.250 0.250 Te
```


*2*
# LiScFeTe

A geometry-optimized LiScFeTe structure (GGA-PBE, the Open Quantum Materials Database).

Structure (POSCAR):
```
LiScFeTe
1.0
0.000 3.183 3.183
3.183 0.000 3.183
3.183 3.183 0.000
Li Sc Fe Te
1 1 1 1
Direct
0.000 0.000 0.000 Li
0.750 0.750 0.750 Sc
0.250 0.250 0.250 Fe
0.500 0.500 0.500 Te
```


*3*
# LiScFeTe

A geometry-optimized LiScFeTe structure (GGA-PBE, the Open Quantum Materials Database).

Structure (POSCAR):
```
LiScFeTe
1.0
0.000 3.305 3.305
3.305 0.000 3.305
3.305 3.305 0.000
Li Sc Fe Te
1 1 1 1
Direct
0.000 0.000 0.000 Li
0.500 0.500 0.500 Sc
0.750 0.750 0.750 Fe
0.250 0.250 0.250 Te
```


Tell me which of them is the least stable. Sure, it is *2*.